An optimized crystal structure of PrSm5DyEr2, computed with GGA-PBE.

The structure in POSCAR format:
```
PrSm5DyEr2
1.0
-3.785 -3.603 -2.126
1.909 -3.342 9.749
-7.958 6.190 3.679
Pr Sm Dy Er
2 10 2 4
direct
0.798 0.595 0.509
0.202 0.405 0.009
0.394 0.787 0.026
0.718 0.435 0.806
0.478 0.957 0.741
0.298 0.596 0.704
0.983 0.966 0.525
0.606 0.213 0.526
0.282 0.565 0.306
0.522 0.043 0.241
0.702 0.404 0.204
0.017 0.034 0.025
0.587 0.175 0.956
0.413 0.825 0.456
0.884 0.768 0.819
0.109 0.218 0.738
0.116 0.232 0.319
0.891 0.782 0.238
```

Computed properties:
The total energy is -4.53 eV/atom. The value obtained for the total magnetic moment is 0.000 μB per formula unit. The calculation puts the density of states at the Fermi level at 13.97 states/eV/f.u. For the formation energy, the calculation gives 0.150 eV/atom.